No. 1
VASP calculation (PBE) on a relaxed MnFe2Co4 crystal.

Output
Formation enthalpy at 0 K (meV per atom): 271
SG: I4/mmm, No. 139

Cell lengths 4.832, 4.832, 4.832 Å; angles 108.91, 109.75, 109.75 degrees
Each line ends with the local moment (μB).
Atoms (fractional coordinates):
Mn 0.000 0.000 0.000  2.56
Fe 0.500 0.500 0.000  2.63
Fe 0.500 0.000 0.500  2.63
Co 0.500 0.000 0.000  1.56
Co 0.500 0.500 0.500  1.56
Co 0.000 0.000 0.500  1.56
Co 0.000 0.500 0.000  1.56

***

No. 2
VASP calculation (PBE) on a relaxed Pu2SiH crystal.

Output
SG: P4/mmm, No. 123
Offset from the most stable computed form (eV/atom): 0.0000

Cell lengths 3.132, 3.132, 7.128 Å; angles 90.00, 90.00, 90.00 degrees
Each line ends with the local moment (μB).
Atoms (fractional coordinates):
H 0.500 0.500 0.500  -0.04
Si 0.500 0.500 0.000  -0.07
Pu 0.000 0.000 0.723  5.70
Pu 0.000 0.000 0.277  5.70

***

No. 3
VASP calculation (PBE) on a relaxed AlTcP2Cl crystal.

Output
SG: P4/mmm, No. 123
Offset from the most stable computed form (eV/atom): 0.4863
Formation energy (no corrections) (eV/atom): 0.80

Cell lengths 4.710, 4.710, 4.510 Å; angles 90.00, 90.00, 90.00 degrees
Each line ends with the local moment (μB).
Atoms (fractional coordinates):
P 0.000 0.500 0.000  -0.16
P 0.500 0.000 0.000  -0.16
Al 0.000 0.000 0.000  0.01
Tc 0.500 0.500 0.500  3.35
Cl 0.000 0.000 0.500  0.02

***

No. 4
VASP calculation (PBE) on a relaxed Sm2Cr2Fe15C2 crystal.

Output
Formation enthalpy at 0 K (meV per atom): -17
SG: C2/m, No. 12

Cell lengths 6.474, 6.474, 6.487 Å; angles 83.65, 83.65, 83.64 degrees
Each line ends with the local moment (μB).
Atoms (fractional coordinates):
Sm 0.650 0.650 0.665  -0.22
Sm 0.350 0.350 0.335  -0.22
Cr 0.915 0.915 0.914  -0.86
Cr 0.085 0.085 0.086  -0.86
Fe 0.281 0.719 0.000  2.24
Fe 0.715 0.996 0.288  1.53
Fe 0.004 0.285 0.712  1.53
Fe 0.285 0.004 0.712  1.53
Fe 0.996 0.715 0.288  1.53
Fe 0.719 0.281 0.000  2.24
Fe 0.854 0.343 0.339  2.00
Fe 0.343 0.343 0.856  2.48
Fe 0.343 0.854 0.339  2.00
Fe 0.146 0.657 0.661  2.00
Fe 0.657 0.657 0.144  2.48
Fe 0.657 0.146 0.661  2.00
Fe 0.000 0.000 0.500  2.33
Fe 0.000 0.500 0.000  2.11
Fe 0.500 0.000 0.000  2.11
C 0.500 0.000 0.500  -0.12
C 0.000 0.500 0.500  -0.12

***

| no. | DFT total energy (eV/f.u.) |
| --- | --- |
| 1 | -52.623 |
| 2 | -38.160 |
| 3 | -22.763 |
| 4 | -174.435 |